[1]
Here is an optimized crystal structure of BaNaGePt from Alexandria via LeMat-Bulk. Energies are from PBE-GGA.

abc: 7.966 4.591 6.402
angles: 90.00 114.47 90.00
Space group Cm (No. 8)
Asymmetric unit:
Ba  0.000  0.000  0.000
Na  0.196  0.000  0.590
Ge  0.453  0.000  0.359
Pt  0.286  0.500  0.360

Output
E_form in meV/atom: -470

=====

[2]
Here is an optimized crystal structure of BaNaGe2Rh from Alexandria via LeMat-Bulk. Energies are from PBE-GGA.

abc: 4.851 4.851 5.273
angles: 90.00 90.00 90.00
Space group P4/mmm (No. 123)
Asymmetric unit:
Ba  0.000  0.000  0.000
Na  0.500  0.500  0.000
Ge  0.000  0.500  0.500
Rh  0.500  0.500  0.500

Output
E_form in meV/atom: -248

=====

[3]
Here is an optimized crystal structure of BaNaGeSe2 from Alexandria via LeMat-Bulk. Energies are from PBE-GGA.

abc: 5.423 5.423 4.944
angles: 90.00 90.00 90.00
Space group P4/mmm (No. 123)
Asymmetric unit:
Ba  0.000  0.000  0.000
Na  0.500  0.500  0.500
Ge  0.500  0.500  0.000
Se  0.000  0.500  0.500

Output
Formation energy from raw total energies in eV per atom: -0.374

=====

[4]
Here is an optimized crystal structure of Ba2NaGe2Se6 from Alexandria via LeMat-Bulk. Energies are from PBE-GGA.

abc: 12.085 7.338 7.978
angles: 90.00 108.51 90.00
Space group C2/m (No. 12)
Asymmetric unit:
Ba  0.190  0.000  0.193
Na  0.000  0.000  0.500
Ge  0.023  0.500  0.349
Se  0.073  0.237  0.802
Se  0.222  0.500  0.367

Output
Formation energy from raw total energies in eV per atom: -0.958

=====

[5]
Here is an optimized crystal structure of BaNaSr2Ge from Alexandria via LeMat-Bulk. Energies are from PBE-GGA.

abc: 6.207 6.207 6.601
angles: 90.00 90.00 90.00
Space group P4/mmm (No. 123)
Asymmetric unit:
Ba  0.000  0.000  0.000
Na  0.500  0.500  0.000
Sr  0.000  0.500  0.500
Ge  0.000  0.000  0.500

Output
E_form in meV/atom: -205

=====

[6]
Here is an optimized crystal structure of Ba2NaZn4Ge3 from Alexandria via LeMat-Bulk. Energies are from PBE-GGA.

abc: 4.630 4.630 10.867
angles: 90.00 90.00 90.00
Space group P-4m2 (No. 115)
Asymmetric unit:
Ba  0.000  0.500  0.237
Na  0.000  0.000  0.500
Zn  0.000  0.000  0.000
Zn  0.000  0.500  0.636
Zn  0.500  0.500  0.000
Ge  0.000  0.500  0.873
Ge  0.500  0.500  0.500

Output
E_form in meV/atom: -297

=====

[7]
Here is an optimized crystal structure of BaNa2ZnGe2 from Alexandria via LeMat-Bulk. Energies are from PBE-GGA.

abc: 4.582 9.104 7.825
angles: 90.00 90.00 90.00
Space group Pmc2_1 (No. 26)
Asymmetric unit:
Ba  0.000  0.051  0.000
Na  0.000  0.363  0.324
Na  0.500  0.422  0.004
Zn  0.500  0.219  0.627
Ge  0.000  0.325  0.704
Ge  0.500  0.154  0.302

Output
E_form in meV/atom: -168

=====

[8]
Here is an optimized crystal structure of Ba2NaZn3Ge4 from Alexandria via LeMat-Bulk. Energies are from PBE-GGA.

abc: 4.615 4.615 11.103
angles: 90.00 90.00 90.00
Space group P-4m2 (No. 115)
Asymmetric unit:
Ba  0.000  0.500  0.245
Na  0.000  0.000  0.500
Zn  0.000  0.500  0.873
Zn  0.500  0.500  0.500
Ge  0.000  0.000  0.000
Ge  0.000  0.500  0.642
Ge  0.500  0.500  0.000

Output
E_form in meV/atom: -302